# 1
Compound: NaGa2Sn2
Source: Alexandria
Functional: GGA-PBE
Structure: optimized geometry Values from VASP.

```
&SYSTEM
  ibrav = 0, nat = 5, ntyp = 3
/
ATOMIC_SPECIES
Na 22.99 Na.upf
Ga 69.72 Ga.upf
Sn 118.71 Sn.upf
ATOMIC_POSITIONS crystal
Na 0.000 0.000 0.000
Ga 0.750 0.250 0.500
Sn 0.626 0.626 0.747
Sn 0.374 0.374 0.253
Ga 0.250 0.750 0.500
CELL_PARAMETERS angstrom
4.883 0.000 0.000
0.000 4.883 0.000
2.441 2.441 5.686
```

Values from the calculation:
**Density of states at the Fermi level**: 2.00 states/eV per cell
**Energy of formation**: -65.9 meV/atom
**ΔE to the lowest computed polymorph**: 18 meV per atom



# 2
Compound: TiNb2Rh4
Source: Alexandria
Functional: GGA-PBE
Structure: optimized geometry Values from VASP.

```
&SYSTEM
  ibrav = 0, nat = 7, ntyp = 3
/
ATOMIC_SPECIES
Nb 92.91 Nb.upf
Rh 102.91 Rh.upf
Ti 47.87 Ti.upf
ATOMIC_POSITIONS crystal
Nb 0.366 0.366 0.268
Rh 0.189 0.189 0.623
Nb 0.634 0.634 0.732
Ti 0.000 0.000 0.000
Rh 0.500 0.000 0.000
Rh 0.811 0.811 0.377
Rh 0.000 0.500 0.000
CELL_PARAMETERS angstrom
4.483 0.000 0.000
0.000 4.483 0.000
2.241 2.241 6.495
```

Values from the calculation:
**Density of states at the Fermi level**: 8.09 states/eV per cell
**Energy of formation**: 462.6 meV/atom
**ΔE to the lowest computed polymorph**: 842 meV per atom



# 3
Compound: Sc2SbP
Source: Alexandria
Functional: GGA-PBE
Structure: optimized geometry Values from VASP.

```
&SYSTEM
  ibrav = 0, nat = 4, ntyp = 3
/
ATOMIC_SPECIES
Sc 44.96 Sc.upf
Sb 121.76 Sb.upf
P 30.97 P.upf
ATOMIC_POSITIONS crystal
Sc 0.500 0.000 0.000
Sc 0.000 0.500 0.000
Sb 0.500 0.500 0.500
P 0.000 0.000 0.500
CELL_PARAMETERS angstrom
-3.467 -1.175 3.038
-0.037 -3.791 -2.874
2.455 -1.661 2.159
```

Values from the calculation:
**Density of states at the Fermi level**: 3.11 states/eV per cell
**Energy relative to the elements, uncorrected**: -16.358 kcal/mol of atoms



# 4
Compound: K2NpAg2S4
Source: Alexandria
Functional: GGA-PBE
Structure: optimized geometry Values from VASP.

```
&SYSTEM
  ibrav = 0, nat = 9, ntyp = 4
/
ATOMIC_SPECIES
S 32.06 S.upf
Ag 107.87 Ag.upf
K 39.10 K.upf
Np 237.00 Np.upf
ATOMIC_POSITIONS crystal
S 0.808 0.806 0.616
Ag 0.321 0.020 0.643
Ag 0.679 0.980 0.357
K 0.136 0.567 0.273
S 0.192 0.194 0.384
Np 0.000 0.000 0.000
S 0.507 0.767 0.014
S 0.493 0.233 0.986
K 0.864 0.433 0.727
CELL_PARAMETERS angstrom
-2.781 0.538 -2.981
5.476 -1.064 -5.301
-1.826 -6.784 3.314
```

Values from the calculation:
**Density of states at the Fermi level**: 10.00 states/eV per cell
**Energy relative to the elements, uncorrected**: -21.713 kcal/mol of atoms



# 5
Compound: LaTb4Y4
Source: Alexandria
Functional: GGA-PBE
Structure: optimized geometry Values from VASP.

```
&SYSTEM
  ibrav = 0, nat = 18, ntyp = 3
/
ATOMIC_SPECIES
Tb 158.93 Tb.upf
Y 88.91 Y.upf
La 138.91 La.upf
ATOMIC_POSITIONS crystal
Tb 0.154 0.489 0.371
Y 0.632 0.293 0.876
Y 0.959 0.630 0.208
Tb 0.471 0.810 0.703
Tb 0.809 0.150 0.039
Tb 0.846 0.511 0.629
La 0.921 0.957 0.217
Tb 0.529 0.190 0.297
Y 0.368 0.707 0.124
Tb 0.710 0.049 0.462
La 0.079 0.043 0.783
Tb 0.191 0.850 0.961
Y 0.729 0.710 0.455
Y 0.393 0.371 0.121
Y 0.607 0.629 0.879
Y 0.041 0.370 0.792
Y 0.271 0.290 0.545
Tb 0.290 0.951 0.538
CELL_PARAMETERS angstrom
-6.804 2.494 4.901
1.550 -2.596 -9.258
0.339 -9.224 6.158
```

Values from the calculation:
**Density of states at the Fermi level**: 32.26 states/eV per cell
**Energy of formation**: 41.4 meV/atom
**ΔE to the lowest computed polymorph**: 17 meV per atom



# 6
Compound: Cs2NiCl7
Source: Alexandria
Functional: GGA-PBE
Structure: optimized geometry Values from VASP.

```
&SYSTEM
  ibrav = 0, nat = 10, ntyp = 3
/
ATOMIC_SPECIES
Cl 35.45 Cl.upf
Cs 132.91 Cs.upf
Ni 58.69 Ni.upf
ATOMIC_POSITIONS crystal
Cl 0.772 0.772 0.000
Cl 0.197 0.197 0.605
Cl 0.500 0.500 0.000
Cl 0.803 0.803 0.395
Cs 0.750 0.250 0.500
Ni 0.000 0.000 0.000
Cl 0.228 0.772 0.000
Cs 0.250 0.750 0.500
Cl 0.772 0.228 0.000
Cl 0.228 0.228 0.000
CELL_PARAMETERS angstrom
7.151 0.000 0.000
0.000 7.151 0.000
3.575 3.575 5.638
```

Values from the calculation:
**Density of states at the Fermi level**: 4.52 states/eV per cell
**Energy relative to the elements, uncorrected**: -22.569 kcal/mol of atoms



# 7
Compound: Sr3Li2GeO6
Source: Alexandria
Functional: GGA-PBE
Structure: optimized geometry Values from VASP.

```
&SYSTEM
  ibrav = 0, nat = 12, ntyp = 4
/
ATOMIC_SPECIES
O 16.00 O.upf
Sr 87.62 Sr.upf
Ge 72.64 Ge.upf
Li 6.94 Li.upf
ATOMIC_POSITIONS crystal
O 0.160 0.840 0.314
O 0.680 0.840 0.314
Sr 0.667 0.333 0.373
Sr 0.333 0.667 0.627
Ge 0.000 0.000 0.500
Sr 0.000 0.000 0.000
Li 0.333 0.667 0.211
O 0.320 0.160 0.686
O 0.840 0.680 0.686
O 0.840 0.160 0.686
Li 0.667 0.333 0.789
O 0.160 0.320 0.314
CELL_PARAMETERS angstrom
-5.404 1.276 -1.249
1.174 -4.475 3.314
-0.303 3.657 5.045
```

Values from the calculation:
**Energy relative to the elements, uncorrected**: -50.299 kcal/mol of atoms



# 8
Compound: SrTl2Cd
Source: Alexandria
Functional: GGA-PBE
Structure: optimized geometry Values from VASP.

```
&SYSTEM
  ibrav = 0, nat = 4, ntyp = 3
/
ATOMIC_SPECIES
Tl 204.38 Tl.upf
Cd 112.41 Cd.upf
Sr 87.62 Sr.upf
ATOMIC_POSITIONS crystal
Tl 0.005 0.005 0.995
Tl 0.759 0.759 0.739
Cd 0.490 0.490 0.513
Sr 0.246 0.246 0.253
CELL_PARAMETERS angstrom
6.112 -0.057 0.011
4.429 4.213 0.011
2.115 0.834 4.727
```

Values from the calculation:
**Density of states at the Fermi level**: 2.27 states/eV per cell
**Energy of formation**: -221.5 meV/atom



# 9
Compound: Ta3HgI
Source: Alexandria
Functional: GGA-PBE
Structure: optimized geometry Values from VASP.

```
&SYSTEM
  ibrav = 0, nat = 5, ntyp = 3
/
ATOMIC_SPECIES
Ta 180.95 Ta.upf
Hg 200.59 Hg.upf
I 126.90 I.upf
ATOMIC_POSITIONS crystal
Ta 0.000 0.500 0.000
Ta 0.500 0.000 0.000
Ta 0.000 0.000 0.500
Hg 0.500 0.500 0.500
I 0.000 0.000 0.000
CELL_PARAMETERS angstrom
-1.959 4.598 0.001
-3.946 -1.682 2.565
2.360 1.005 4.290
```

Values from the calculation:
**Density of states at the Fermi level**: 6.03 states/eV per cell
**Energy relative to the elements, uncorrected**: 48.349 kcal/mol of atoms
**ΔE to the lowest computed polymorph**: 0 meV per atom



# 10
Compound: Cs2NaPPt
Source: Alexandria
Functional: GGA-PBE
Structure: optimized geometry Values from VASP.

```
&SYSTEM
  ibrav = 0, nat = 5, ntyp = 4
/
ATOMIC_SPECIES
Na 22.99 Na.upf
P 30.97 P.upf
Cs 132.91 Cs.upf
Pt 195.08 Pt.upf
ATOMIC_POSITIONS crystal
Na 0.500 0.500 0.500
P 0.000 0.000 0.500
Cs 0.000 0.500 0.000
Pt 0.000 0.000 0.000
Cs 0.500 0.000 0.000
CELL_PARAMETERS angstrom
7.220 0.000 0.000
0.000 7.220 0.000
0.000 0.000 4.409
```

Values from the calculation:
**Density of states at the Fermi level**: 3.48 states/eV per cell
**Energy of formation**: -228.1 meV/atom



# 11
Compound: TeRuC2F
Source: Alexandria
Functional: GGA-PBE
Structure: optimized geometry Values from VASP.

```
&SYSTEM
  ibrav = 0, nat = 5, ntyp = 4
/
ATOMIC_SPECIES
Ru 101.07 Ru.upf
C 12.01 C.upf
F 19.00 F.upf
Te 127.60 Te.upf
ATOMIC_POSITIONS crystal
Ru 0.000 0.500 0.000
C 0.500 0.000 0.000
C 0.000 0.000 0.500
F 0.000 0.000 0.000
Te 0.500 0.500 0.500
CELL_PARAMETERS angstrom
4.126 0.000 0.000
0.000 4.055 0.000
0.000 0.000 4.126
```

Values from the calculation:
**Density of states at the Fermi level**: 5.71 states/eV per cell
**Energy relative to the elements, uncorrected**: 53.853 kcal/mol of atoms



# 12
Compound: Tb6SmEr2Tm
Source: Alexandria
Functional: GGA-PBE
Structure: optimized geometry Values from VASP.

```
&SYSTEM
  ibrav = 0, nat = 20, ntyp = 4
/
ATOMIC_SPECIES
Tb 158.93 Tb.upf
Er 167.26 Er.upf
Tm 168.93 Tm.upf
Sm 150.36 Sm.upf
ATOMIC_POSITIONS crystal
Tb 0.056 0.123 0.753
Er 0.046 0.305 0.200
Tm 0.250 0.410 0.590
Tb 0.381 0.508 0.292
Er 0.954 0.695 0.800
Sm 0.750 0.025 0.975
Tb 0.444 0.247 0.877
Tb 0.619 0.492 0.708
Tb 0.119 0.708 0.492
Er 0.546 0.200 0.305
Tb 0.944 0.877 0.247
Tm 0.750 0.590 0.410
Tb 0.684 0.015 0.565
Sm 0.250 0.975 0.025
Tb 0.316 0.985 0.435
Tb 0.184 0.565 0.015
Er 0.454 0.800 0.695
Tb 0.816 0.435 0.985
Tb 0.881 0.292 0.508
Tb 0.556 0.753 0.123
CELL_PARAMETERS angstrom
9.065 -1.979 -2.054
0.820 8.496 -1.993
0.820 -2.306 8.416
```

Values from the calculation:
**Density of states at the Fermi level**: 27.98 states/eV per cell
**Energy of formation**: 119.4 meV/atom